## Y5TlTe8 (PBE)

Data for Y5TlTe8 after structural relaxation.

Cell and atoms, written as extended XYZ:
```
14
Lattice="0.000 6.499 6.499 6.499 0.000 6.499 6.499 6.499 0.000" Properties=species:S:1:pos:R:3 pbc="T T T"
Y 0.000 0.000 0.000
Y 8.066 4.932 4.932
Y 4.932 8.066 4.932
Y 4.932 4.932 8.066
Y 8.066 8.066 8.066
Tl 3.250 3.250 3.250
Te 5.044 5.044 5.044
Te 7.954 7.954 5.044
Te 7.954 5.044 7.954
Te 11.269 8.228 8.228
Te 5.044 7.954 7.954
Te 8.228 11.269 8.228
Te 8.228 8.228 11.269
Te 11.269 11.269 11.269
```

Output
Formation energy without anion corrections in meV/atom: -1214
Total magnetic moment in μB per cell: 0.0
Mass density in g/cm³: 5.050



## Y2TlTe (PBE)

Data for Y2TlTe after structural relaxation.

Cell and atoms, written as extended XYZ:
```
8
Lattice="-4.143 4.143 3.505 4.143 -4.143 3.505 4.143 4.143 -3.505" Properties=species:S:1:pos:R:3 pbc="T T T"
Y 6.215 2.030 -0.876
Y 2.030 2.072 0.876
Y -2.072 2.113 2.629
Y 2.113 2.072 4.381
Tl 4.143 0.000 1.753
Tl 0.000 0.000 3.505
Te 0.000 0.000 0.000
Te 0.000 4.143 1.753
```

Output
Formation energy without anion corrections in meV/atom: -569
Total magnetic moment in μB per cell: 0.7
Mass density in g/cm³: 7.035



## Y2TlTe (PBE)

Data for Y2TlTe after structural relaxation.

Cell and atoms, written as extended XYZ:
```
4
Lattice="0.000 3.813 3.813 3.813 0.000 3.813 3.813 3.813 0.000" Properties=species:S:1:pos:R:3 pbc="T T T"
Y 1.907 1.907 1.907
Y 5.720 5.720 5.720
Tl 0.000 0.000 0.000
Te 3.813 3.813 3.813
```

Output
Formation energy without anion corrections in meV/atom: -604
Total magnetic moment in μB per cell: 0.0
Mass density in g/cm³: 7.633



## YTlTe4 (PBE)

Data for YTlTe4 after structural relaxation.

Cell and atoms, written as extended XYZ:
```
6
Lattice="0.000 4.542 4.542 4.542 0.000 4.542 4.542 4.542 0.000" Properties=species:S:1:pos:R:3 pbc="T T T"
Y 0.000 0.000 0.000
Tl 2.271 2.271 2.271
Te 5.683 3.400 3.400
Te 3.400 5.683 3.400
Te 3.400 3.400 5.683
Te 5.683 5.683 5.683
```

Output
Formation energy without anion corrections in meV/atom: 43
Total magnetic moment in μB per cell: 0.0
Mass density in g/cm³: 7.122



## YTl2Te2 (PBE)

Data for YTl2Te2 after structural relaxation.

Cell and atoms, written as extended XYZ:
```
10
Lattice="8.188 0.000 0.000 0.000 8.188 0.000 0.000 0.000 5.191" Properties=species:S:1:pos:R:3 pbc="T T T"
Y 0.000 0.000 0.000
Y 4.094 4.094 0.000
Tl 1.192 2.902 2.596
Tl 2.902 6.996 2.596
Tl 5.285 1.192 2.596
Tl 6.996 5.285 2.596
Te 1.406 5.499 0.000
Te 2.688 1.406 0.000
Te 5.499 6.782 0.000
Te 6.782 2.688 0.000
```

Output
Formation energy without anion corrections in meV/atom: -530
Total magnetic moment in μB per cell: 0.6
Mass density in g/cm³: 7.184



## Y2TlTe (PBE)

Data for Y2TlTe after structural relaxation.

Cell and atoms, written as extended XYZ:
```
4
Lattice="-1.969 2.427 6.119 1.969 -2.427 6.119 1.969 2.427 -6.119" Properties=species:S:1:pos:R:3 pbc="T T T"
Y 0.000 0.000 0.000
Y 0.000 2.427 2.998
Tl 0.000 0.000 5.518
Te 1.969 0.000 2.466
```

Output
Formation energy without anion corrections in meV/atom: -663
Total magnetic moment in μB per cell: 0.0
Mass density in g/cm³: 7.238